one | Compound: Li2Ga3
Source: Alexandria via LeMat-Bulk
Functional: GGA-PBE
Structure: optimized geometry

For the density of states at the Fermi level, the calculation gives 3.7 states/eV/cell.

It has space group P4/m (No. 83), with a = 6.338 Å, b = 6.338 Å, c = 4.025 Å, α = 90.00°, β = 90.00° and γ = 90.00°. Symmetry generates all atoms from Li at (0.113, 0.699, 0.000), Ga at (0.000, 0.000, 0.500), Ga at (0.192, 0.397, 0.500) and Ga at (0.500, 0.500, 0.000).

two | Compound: Li2Ga3
Source: Alexandria via LeMat-Bulk
Functional: GGA-PBE
Structure: optimized geometry

For the density of states at the Fermi level, the calculation gives 10.9 states/eV/cell.

It has space group Fdd2 (No. 43), with a = 9.449 Å, b = 13.514 Å, c = 5.263 Å, α = 90.00°, β = 90.00° and γ = 90.00°. Symmetry generates all atoms from Li at (0.031, 0.199, 0.000), Ga at (0.000, 0.000, 0.070) and Ga at (0.041, 0.101, 0.528).

three | Compound: Li2Ga3
Source: Alexandria via LeMat-Bulk
Functional: GGA-PBE
Structure: optimized geometry

For the density of states at the Fermi level, the calculation gives 14.1 states/eV/cell.

It has space group R-3c (No. 167, hexagonal axes), with a = 6.7315 Å, b = 6.7315 Å, c = 13.9238 Å, α = 90.00°, β = 90.00° and γ = 120.00°. Symmetry generates all atoms from Li at (0.0000, 0.0000, 0.0913) and Ga at (0.0000, 0.2412, 0.2500).

Quick one: most stable of them? one

one | Compound: LiGa2
Source: Alexandria via LeMat-Bulk
Functional: GGA-PBE
Structure: optimized geometry

For the density of states at the Fermi level, the calculation gives 1.5 states/eV/cell.

It has space group I4/mmm (No. 139), with a = 3.273 Å, b = 3.273 Å, c = 9.615 Å, α = 90.00°, β = 90.00° and γ = 90.00°. Symmetry generates all atoms from Li at (0.000, 0.000, 0.000) and Ga at (0.000, 0.000, 0.333).

two | Compound: LiGa2
Source: Alexandria via LeMat-Bulk
Functional: GGA-PBE
Structure: optimized geometry

For the density of states at the Fermi level, the calculation gives 23.4 states/eV/cell.

It has space group Fd-3m (No. 227, origin choice 2), with a = 7.646 Å, b = 7.646 Å, c = 7.646 Å, α = 90.00°, β = 90.00° and γ = 90.00°. Symmetry generates all atoms from Li at (0.125, 0.125, 0.125) and Ga at (0.000, 0.000, 0.500).

three | Compound: LiGa2
Source: Alexandria via LeMat-Bulk
Functional: GGA-PBE
Structure: optimized geometry

For the density of states at the Fermi level, the calculation gives 11.9 states/eV/cell.

It has space group Fd-3m (No. 227, origin choice 2), with a = 9.622 Å, b = 9.622 Å, c = 9.622 Å, α = 90.00°, β = 90.00° and γ = 90.00°. Symmetry generates all atoms from Li at (0.000, 0.000, 0.000) and Ga at (0.025, 0.025, 0.725).

four | Compound: LiGa2
Source: Alexandria via LeMat-Bulk
Functional: GGA-PBE
Structure: optimized geometry

For the density of states at the Fermi level, the calculation gives 3.4 states/eV/cell.

It has space group Imma (No. 74), with a = 4.319 Å, b = 6.465 Å, c = 7.612 Å, α = 90.00°, β = 90.00° and γ = 90.00°. Symmetry generates all atoms from Li at (0.000, 0.250, 0.035) and Ga at (0.000, 0.034, 0.664).

Quick one: most stable of them? four

one | Compound: LiLuGa
Source: Alexandria via LeMat-Bulk
Functional: GGA-PBE
Structure: optimized geometry

For the density of states at the Fermi level, the calculation gives 5.5 states/eV/cell.

It has space group I4mm (No. 107), with a = 3.410 Å, b = 3.410 Å, c = 10.512 Å, α = 90.00°, β = 90.00° and γ = 90.00°. Symmetry generates all atoms from Li at (0.000, 0.000, 0.000), Lu at (0.000, 0.000, 0.296) and Ga at (0.000, 0.000, 0.619).

two | Compound: LiLuGa
Source: Alexandria via LeMat-Bulk
Functional: GGA-PBE
Structure: optimized geometry

For the density of states at the Fermi level, the calculation gives 1.8 states/eV/cell.

It has space group P-6m2 (No. 187), with a = 4.6093 Å, b = 4.6093 Å, c = 3.2608 Å, α = 90.00°, β = 90.00° and γ = 120.00°. Symmetry generates all atoms from Li at (0.0000, 0.0000, 0.0000), Lu at (0.6667, 0.3333, 0.5000) and Ga at (0.3333, 0.6667, 0.0000).

Quick one: most stable of them? two

one | Compound: Li2LuGa
Source: Alexandria via LeMat-Bulk
Functional: GGA-PBE
Structure: optimized geometry

For the density of states at the Fermi level, the calculation gives 5.3 states/eV/cell.

It has space group Fm-3m (No. 225), with a = 6.512 Å, b = 6.512 Å, c = 6.512 Å, α = 90.00°, β = 90.00° and γ = 90.00°. Symmetry generates all atoms from Li at (0.250, 0.250, 0.250), Lu at (0.000, 0.000, 0.000) and Ga at (0.000, 0.000, 0.500).

two | Compound: Li2LuGa
Source: Alexandria via LeMat-Bulk
Functional: GGA-PBE
Structure: optimized geometry

For the density of states at the Fermi level, the calculation gives 5.2 states/eV/cell.

It has space group P4/mmm (No. 123), with a = 4.155 Å, b = 4.155 Å, c = 4.817 Å, α = 90.00°, β = 90.00° and γ = 90.00°. Symmetry generates all atoms from Li at (0.000, 0.500, 0.000), Lu at (0.000, 0.000, 0.500) and Ga at (0.500, 0.500, 0.500).

Quick one: most stable of them? one